[1]
This record from Alexandria via LeMat-Bulk describes a geometry-optimized TaGaRh4 structure. The functional is PBE.

Structure (CIF):
```
data_TaGaRh4
_symmetry_space_group_name_H-M 'P 4/m m m'
_symmetry_Int_Tables_number 123
_symmetry_space_group_name_Hall '-P 4 2'
_cell_length_a 4.149
_cell_length_b 4.149
_cell_length_c 5.925
_cell_angle_alpha 90.00
_cell_angle_beta 90.00
_cell_angle_gamma 90.00
loop_
_atom_site_label
_atom_site_fract_x
_atom_site_fract_y
_atom_site_fract_z
Ta1 0.000 0.000 0.000
Ga1 0.500 0.500 0.500
Rh1 0.000 0.500 0.255
```

Computed properties:
calculated formation energy	-0.2478	eV/atom
total moment	0.0	μB per cell


[2]
This record from Alexandria via LeMat-Bulk describes a geometry-optimized Ta2GaRh6 structure. The functional is PBE.

Structure (CIF):
```
data_Ta2GaRh6
_symmetry_space_group_name_H-M 'I m m m'
_symmetry_Int_Tables_number 71
_symmetry_space_group_name_Hall '-I 2 2'
_cell_length_a 4.199
_cell_length_b 5.967
_cell_length_c 12.410
_cell_angle_alpha 90.00
_cell_angle_beta 90.00
_cell_angle_gamma 90.00
loop_
_atom_site_label
_atom_site_fract_x
_atom_site_fract_y
_atom_site_fract_z
Ta1 0.000 0.000 0.162
Ga1 0.000 0.000 0.500
Rh1 0.000 0.247 0.334
Rh2 0.000 0.261 0.000
```

Computed properties:
calculated formation energy	-0.2711	eV/atom
total moment	0.0	μB per cell


[3]
This record from Alexandria via LeMat-Bulk describes a geometry-optimized TaGaRh3 structure. The functional is PBE.

Structure (CIF):
```
data_TaGaRh3
_symmetry_space_group_name_H-M 'P m -3 m'
_symmetry_Int_Tables_number 221
_symmetry_space_group_name_Hall '-P 4 2 3'
_cell_length_a 4.738
_cell_length_b 4.738
_cell_length_c 4.738
_cell_angle_alpha 90.00
_cell_angle_beta 90.00
_cell_angle_gamma 90.00
loop_
_atom_site_label
_atom_site_fract_x
_atom_site_fract_y
_atom_site_fract_z
Ta1 0.000 0.000 0.000
Ga1 0.500 0.500 0.500
Rh1 0.000 0.000 0.500
```

Computed properties:
calculated formation energy	0.8202	eV/atom
total moment	0.0	μB per cell


[4]
This record from Alexandria via LeMat-Bulk describes a geometry-optimized TaGa3Rh4 structure. The functional is PBE.

Structure (CIF):
```
data_TaGa3Rh4
_symmetry_space_group_name_H-M 'P m m a'
_symmetry_Int_Tables_number 51
_symmetry_space_group_name_Hall '-P 2a 2a'
_cell_length_a 8.905
_cell_length_b 5.843
_cell_length_c 4.502
_cell_angle_alpha 90.00
_cell_angle_beta 90.00
_cell_angle_gamma 90.00
loop_
_atom_site_label
_atom_site_fract_x
_atom_site_fract_y
_atom_site_fract_z
Ta1 0.000 0.000 0.000
Ga1 0.000 0.500 0.000
Ga2 0.250 0.000 0.448
Ga3 0.250 0.500 0.446
Rh1 0.000 0.253 0.500
Rh2 0.250 0.256 0.937
```

Computed properties:
calculated formation energy	-0.6401	eV/atom
total moment	0.0	μB per cell


[5]
This record from Alexandria via LeMat-Bulk describes a geometry-optimized TaGa2Rh2 structure. The functional is PBE.

Structure (CIF):
```
data_TaGa2Rh2
_symmetry_space_group_name_H-M 'P 4/m b m'
_symmetry_Int_Tables_number 127
_symmetry_space_group_name_Hall '-P 4 2ab'
_cell_length_a 7.286
_cell_length_b 7.286
_cell_length_c 2.841
_cell_angle_alpha 90.00
_cell_angle_beta 90.00
_cell_angle_gamma 90.00
loop_
_atom_site_label
_atom_site_fract_x
_atom_site_fract_y
_atom_site_fract_z
Ta1 0.000 0.000 0.000
Ga1 0.128 0.372 0.000
Rh1 0.171 0.671 0.500
```

Computed properties:
calculated formation energy	-0.4383	eV/atom
total moment	0.0	μB per cell


[6]
This record from Alexandria via LeMat-Bulk describes a geometry-optimized TaGaRh3 structure. The functional is PBE.

Structure (CIF):
```
data_TaGaRh3
_symmetry_space_group_name_H-M 'P 63/m m c'
_symmetry_Int_Tables_number 194
_symmetry_space_group_name_Hall '-P 6c 2c'
_cell_length_a 6.2878
_cell_length_b 6.2878
_cell_length_c 4.6561
_cell_angle_alpha 90.00
_cell_angle_beta 90.00
_cell_angle_gamma 120.00
loop_
_atom_site_label
_atom_site_fract_x
_atom_site_fract_y
_atom_site_fract_z
Ta1 0.3333 0.6667 0.2500
Ga1 0.0000 0.0000 0.0000
Rh1 0.1955 0.3910 0.7500
```

Computed properties:
calculated formation energy	-0.0989	eV/atom
total moment	0.0	μB per cell


[7]
This record from Alexandria via LeMat-Bulk describes a geometry-optimized Tb2TaGa2Rh5 structure. The functional is PBE.

Structure (CIF):
```
data_Tb2TaGa2Rh5
_symmetry_space_group_name_H-M 'P 4/m b m'
_symmetry_Int_Tables_number 127
_symmetry_space_group_name_Hall '-P 4 2ab'
_cell_length_a 9.876
_cell_length_b 9.876
_cell_length_c 3.539
_cell_angle_alpha 90.00
_cell_angle_beta 90.00
_cell_angle_gamma 90.00
loop_
_atom_site_label
_atom_site_fract_x
_atom_site_fract_y
_atom_site_fract_z
Tb1 0.172 0.328 0.000
Ta1 0.000 0.000 0.000
Ga1 0.126 0.626 0.000
Rh1 0.000 0.500 0.500
Rh2 0.065 0.799 0.500
```

Computed properties:
calculated formation energy	-0.7674	eV/atom
total moment	0.0	μB per cell


[8]
This record from Alexandria via LeMat-Bulk describes a geometry-optimized Ta2VGaRh structure. The functional is PBE.

Structure (CIF):
```
data_Ta2VGaRh
_symmetry_space_group_name_H-M 'P 4/m m m'
_symmetry_Int_Tables_number 123
_symmetry_space_group_name_Hall '-P 4 2'
_cell_length_a 4.710
_cell_length_b 4.710
_cell_length_c 4.395
_cell_angle_alpha 90.00
_cell_angle_beta 90.00
_cell_angle_gamma 90.00
loop_
_atom_site_label
_atom_site_fract_x
_atom_site_fract_y
_atom_site_fract_z
Ta1 0.000 0.500 0.000
V1 0.000 0.000 0.500
Ga1 0.500 0.500 0.000
Rh1 0.500 0.500 0.500
```

Computed properties:
calculated formation energy	1.2306	eV/atom
total moment	0.0	μB per cell


- What is the total moment in the second record?
  0.0 μB per cell